1.
A geometry-optimized FeSO7 structure, computed with PBE with a Hubbard U.

- density of states at the Fermi level (states/eV/atom) = 0.110

Cell and atoms, written as CIF:
```
data_FeSO7
_symmetry_space_group_name_H-M 'P 1'
_symmetry_Int_Tables_number 1
_cell_length_a 6.989
_cell_length_b 6.468
_cell_length_c 6.886
_cell_angle_alpha 66.26
_cell_angle_beta 90.00
_cell_angle_gamma 90.00
loop_
_symmetry_equiv_pos_as_xyz
'x,y,z'
loop_
_atom_site_label
_atom_site_type_symbol
_atom_site_fract_x
_atom_site_fract_y
_atom_site_fract_z
O1 O 0.250 0.541 0.345
O2 O 0.573 0.112 0.709
O3 O 0.427 0.888 0.291
O4 O 0.927 0.112 0.709
O5 O 0.961 0.592 0.975
O6 O 0.461 0.408 0.025
O7 O 0.073 0.888 0.291
S1 S 0.750 0.263 0.606
O8 O 0.539 0.592 0.975
Fe1 Fe 0.000 0.000 0.000
O9 O 0.750 0.297 0.386
O10 O 0.750 0.459 0.655
O11 O 0.250 0.703 0.614
S2 S 0.250 0.737 0.394
Fe2 Fe 0.500 0.000 0.000
O12 O 0.039 0.408 0.025
O13 O 0.250 0.014 0.919
O14 O 0.750 0.986 0.081
```

=====

2.
A geometry-optimized FeS2O8 structure, computed with PBE with a Hubbard U.

- density of states at the Fermi level (states/eV/atom) = 0.766

Cell and atoms, written as CIF:
```
data_FeS2O8
_symmetry_space_group_name_H-M 'P 1'
_symmetry_Int_Tables_number 1
_cell_length_a 6.473
_cell_length_b 5.237
_cell_length_c 5.237
_cell_angle_alpha 120.00
_cell_angle_beta 90.00
_cell_angle_gamma 90.00
loop_
_symmetry_equiv_pos_as_xyz
'x,y,z'
loop_
_atom_site_label
_atom_site_type_symbol
_atom_site_fract_x
_atom_site_fract_y
_atom_site_fract_z
O1 O 0.321 0.641 0.820
O2 O 0.017 0.333 0.667
S1 S 0.759 0.667 0.333
O3 O 0.679 0.359 0.180
S2 S 0.241 0.333 0.667
O4 O 0.321 0.180 0.820
O5 O 0.983 0.667 0.333
O6 O 0.679 0.820 0.641
O7 O 0.679 0.820 0.180
O8 O 0.321 0.180 0.359
Fe1 Fe 0.500 0.000 0.000
```

=====

3.
A geometry-optimized FeS2O8 structure, computed with PBE with a Hubbard U.

- density of states at the Fermi level (states/eV/atom) = 0.677

Cell and atoms, written as CIF:
```
data_FeS2O8
_symmetry_space_group_name_H-M 'P 1'
_symmetry_Int_Tables_number 1
_cell_length_a 9.020
_cell_length_b 9.020
_cell_length_c 9.020
_cell_angle_alpha 55.82
_cell_angle_beta 55.82
_cell_angle_gamma 55.82
loop_
_symmetry_equiv_pos_as_xyz
'x,y,z'
loop_
_atom_site_label
_atom_site_type_symbol
_atom_site_fract_x
_atom_site_fract_y
_atom_site_fract_z
O1 O 0.882 0.714 0.495
S1 S 0.962 0.240 0.545
O2 O 0.022 0.726 0.649
S2 S 0.462 0.040 0.747
O3 O 0.511 0.117 0.285
O4 O 0.677 0.994 0.034
O5 O 0.117 0.285 0.511
O6 O 0.231 0.608 0.389
O7 O 0.358 0.983 0.262
O8 O 0.629 0.772 0.365
O9 O 0.365 0.629 0.772
S3 S 0.747 0.462 0.040
O10 O 0.726 0.649 0.022
O11 O 0.994 0.034 0.677
O12 O 0.322 0.034 0.945
S4 S 0.240 0.545 0.962
O13 O 0.389 0.231 0.608
O14 O 0.983 0.262 0.358
O15 O 0.034 0.677 0.994
O16 O 0.262 0.358 0.983
O17 O 0.649 0.022 0.726
O18 O 0.714 0.495 0.882
O19 O 0.608 0.389 0.231
S5 S 0.545 0.962 0.240
O20 O 0.034 0.945 0.322
Fe1 Fe 0.150 0.150 0.150
O21 O 0.495 0.882 0.714
S6 S 0.040 0.747 0.462
Fe2 Fe 0.851 0.851 0.851
O22 O 0.285 0.511 0.117
O23 O 0.945 0.322 0.034
Fe3 Fe 0.354 0.354 0.354
O24 O 0.772 0.365 0.629
```

=====

The records above give, respectively, E above lowest polymorph values of 75 0 2 kJ/mol of formula units.
The records above give, respectively, density values of 2.3 2.7 2.6 Mg/m³.
The records above give, respectively, raw total energy values of -5.688 -6.047 -6.046 eV per atom.